Run i
! Be2CoW (meta-GGA SCAN, single point on PBEsol structure); values from VASP
&SYSTEM
  ibrav = 0, nat = 4, ntyp = 3
/
ATOMIC_SPECIES
Be 9.01 Be.upf
Co 58.93 Co.upf
W 183.84 W.upf
ATOMIC_POSITIONS angstrom
Be 1.2124 1.8586 0.0000
Be 1.2124 -1.8586 0.0000
Co -0.3381 0.0000 1.2099
W 2.0867 0.0000 1.2099
CELL_PARAMETERS angstrom
2.4247 -3.7172 0.0000
2.4247 3.7172 0.0000
-0.6761 0.0000 2.4198
! Density of states at the Fermi level   2.4 states/eV per cell
! Total magnetic moment   0.00 μB per formula unit

Run ii
! Be2CoW (meta-GGA SCAN, single point on PBEsol structure); values from VASP
&SYSTEM
  ibrav = 0, nat = 4, ntyp = 3
/
ATOMIC_SPECIES
Be 9.01 Be.upf
Co 58.93 Co.upf
W 183.84 W.upf
ATOMIC_POSITIONS angstrom
Be 0.0000 1.7455 0.0000
Be 1.7455 0.0000 0.0000
Co 0.0000 0.0000 1.7411
W 1.7455 1.7455 1.7411
CELL_PARAMETERS angstrom
3.4910 0.0000 0.0000
0.0000 3.4910 0.0000
0.0000 0.0000 3.4821
! Density of states at the Fermi level   2.0 states/eV per cell
! Total magnetic moment   2.04 μB per formula unit

Which one sits at the top of the stability order? run ii does.

Run i
! YBeCo (meta-GGA SCAN, single point on PBEsol structure); values from VASP
&SYSTEM
  ibrav = 0, nat = 3, ntyp = 3
/
ATOMIC_SPECIES
Y 88.91 Y.upf
Be 9.01 Be.upf
Co 58.93 Co.upf
ATOMIC_POSITIONS angstrom
Y 0.0000 0.0000 0.0000
Be 1.5227 1.5227 1.5227
Co 4.5682 4.5682 4.5682
CELL_PARAMETERS angstrom
0.0000 3.0454 3.0454
3.0454 0.0000 3.0454
3.0454 3.0454 0.0000
! Density of states at the Fermi level   2.1 states/eV per cell
! Total magnetic moment   0.50 μB per formula unit

Run ii
! YBeCo (meta-GGA SCAN, single point on PBEsol structure); values from VASP
&SYSTEM
  ibrav = 0, nat = 3, ntyp = 3
/
ATOMIC_SPECIES
Y 88.91 Y.upf
Be 9.01 Be.upf
Co 58.93 Co.upf
ATOMIC_POSITIONS angstrom
Y 0.0000 0.0000 0.0000
Be 0.0000 2.1686 1.9140
Co 1.8781 1.0843 1.9140
CELL_PARAMETERS angstrom
3.7562 0.0000 0.0000
-1.8781 3.2529 0.0000
0.0000 0.0000 3.8279
! Density of states at the Fermi level   1.9 states/eV per cell
! Total magnetic moment   0.04 μB per formula unit

Which one sits at the top of the stability order? run ii does.

Run i
! Be2ZnCo2 (meta-GGA SCAN, single point on PBEsol structure); values from VASP
&SYSTEM
  ibrav = 0, nat = 5, ntyp = 3
/
ATOMIC_SPECIES
Be 9.01 Be.upf
Zn 65.41 Zn.upf
Co 58.93 Co.upf
ATOMIC_POSITIONS angstrom
Be 1.4251 0.0000 3.0974
Be 0.0000 1.4251 3.0974
Zn 0.0000 0.0000 0.0000
Co 0.0000 0.0000 4.7790
Co 0.0000 0.0000 7.6105
CELL_PARAMETERS angstrom
-1.4251 1.4251 6.1948
1.4251 -1.4251 6.1948
1.4251 1.4251 -6.1948
! Density of states at the Fermi level   3.6 states/eV per cell
! Total magnetic moment   0.01 μB per formula unit

Run ii
! Be2ZnCo2 (meta-GGA SCAN, single point on PBEsol structure); values from VASP
&SYSTEM
  ibrav = 0, nat = 10, ntyp = 3
/
ATOMIC_SPECIES
Be 9.01 Be.upf
Zn 65.41 Zn.upf
Co 58.93 Co.upf
ATOMIC_POSITIONS angstrom
Be 0.7487 2.2031 0.0000
Be 2.2031 5.1549 0.0000
Be 3.7004 0.7487 0.0000
Be 5.1549 3.7004 0.0000
Zn 0.0000 0.0000 0.0000
Zn 2.9518 2.9518 0.0000
Co 0.9718 3.9236 1.3404
Co 1.9800 0.9718 1.3404
Co 3.9236 4.9317 1.3404
Co 4.9317 1.9800 1.3404
CELL_PARAMETERS angstrom
5.9035 0.0000 0.0000
0.0000 5.9035 0.0000
0.0000 0.0000 2.6808
! Density of states at the Fermi level   3.6 states/eV per cell
! Total magnetic moment   0.00 μB per formula unit

Which one sits at the top of the stability order? run ii does.

Run i
! BeZnCo2 (meta-GGA SCAN, single point on PBEsol structure); values from VASP
&SYSTEM
  ibrav = 0, nat = 4, ntyp = 3
/
ATOMIC_SPECIES
Be 9.01 Be.upf
Zn 65.41 Zn.upf
Co 58.93 Co.upf
ATOMIC_POSITIONS angstrom
Be 0.0000 0.0000 0.0000
Zn 1.4604 0.0000 1.9015
Co 0.0000 1.8675 1.9015
Co 1.4604 1.8675 0.0000
CELL_PARAMETERS angstrom
2.9209 0.0000 0.0000
0.0000 3.7349 0.0000
0.0000 0.0000 3.8031
! Density of states at the Fermi level   1.7 states/eV per cell
! Total magnetic moment   3.06 μB per formula unit

Run ii
! BeZnCo2 (meta-GGA SCAN, single point on PBEsol structure); values from VASP
&SYSTEM
  ibrav = 0, nat = 4, ntyp = 3
/
ATOMIC_SPECIES
Be 9.01 Be.upf
Zn 65.41 Zn.upf
Co 58.93 Co.upf
ATOMIC_POSITIONS angstrom
Be 0.0000 0.0000 0.0000
Zn 0.0000 0.0000 2.8188
Co 1.3263 1.3263 1.2150
Co 1.3263 1.3263 4.4226
CELL_PARAMETERS angstrom
2.6527 0.0000 0.0000
0.0000 2.6527 0.0000
0.0000 0.0000 5.6376
! Density of states at the Fermi level   3.8 states/eV per cell
! Total magnetic moment   1.46 μB per formula unit

Which one sits at the top of the stability order? run i does.

Run i
! BeCr2Hg (meta-GGA SCAN, single point on PBEsol structure); values from VASP
&SYSTEM
  ibrav = 0, nat = 4, ntyp = 3
/
ATOMIC_SPECIES
Be 9.01 Be.upf
Cr 52.00 Cr.upf
Hg 200.59 Hg.upf
ATOMIC_POSITIONS angstrom
Be 0.0000 0.0000 0.0000
Cr 1.5160 1.5160 0.9847
Cr 1.5160 1.5160 4.5849
Hg 0.0000 0.0000 2.7848
CELL_PARAMETERS angstrom
3.0319 0.0000 0.0000
0.0000 3.0319 0.0000
0.0000 0.0000 5.5696
! Density of states at the Fermi level   3.5 states/eV per cell
! Total magnetic moment   0.00 μB per formula unit

Run ii
! BeCr2Hg (meta-GGA SCAN, single point on PBEsol structure); values from VASP
&SYSTEM
  ibrav = 0, nat = 4, ntyp = 3
/
ATOMIC_SPECIES
Be 9.01 Be.upf
Cr 52.00 Cr.upf
Hg 200.59 Hg.upf
ATOMIC_POSITIONS angstrom
Be 0.0000 0.0000 0.0000
Cr 0.0000 0.0000 6.6185
Cr 0.0000 0.0000 18.8673
Hg 0.0000 0.0000 12.7429
CELL_PARAMETERS angstrom
1.3385 0.7728 8.4953
-1.3385 0.7728 8.4953
0.0000 -1.5456 8.4953
! Density of states at the Fermi level   3.5 states/eV per cell
! Total magnetic moment   0.00 μB per formula unit

Run iii
! BeCr2Hg (meta-GGA SCAN, single point on PBEsol structure); values from VASP
&SYSTEM
  ibrav = 0, nat = 4, ntyp = 3
/
ATOMIC_SPECIES
Be 9.01 Be.upf
Cr 52.00 Cr.upf
Hg 200.59 Hg.upf
ATOMIC_POSITIONS angstrom
Be 0.0000 0.0000 0.0000
Cr 1.5440 1.5440 1.5440
Cr 4.6320 4.6320 4.6320
Hg 3.0880 3.0880 3.0880
CELL_PARAMETERS angstrom
0.0000 3.0880 3.0880
3.0880 0.0000 3.0880
3.0880 3.0880 0.0000
! Density of states at the Fermi level   1.6 states/eV per cell
! Total magnetic moment   7.33 μB per formula unit

Which one sits at the top of the stability order? run iii does.

Run i
! BeCrTeI2 (meta-GGA SCAN, single point on PBEsol structure); values from VASP
&SYSTEM
  ibrav = 0, nat = 5, ntyp = 4
/
ATOMIC_SPECIES
Be 9.01 Be.upf
Cr 52.00 Cr.upf
Te 127.60 Te.upf
I 126.90 I.upf
ATOMIC_POSITIONS angstrom
Be 0.0000 0.0000 0.0000
Cr 2.6951 2.6951 2.5692
Te 2.6951 2.6951 0.0000
I 0.0000 2.6951 2.5692
I 2.6951 0.0000 2.5692
CELL_PARAMETERS angstrom
5.3902 0.0000 0.0000
0.0000 5.3902 0.0000
0.0000 0.0000 5.1384
! Density of states at the Fermi level   2.5 states/eV per cell
! Total magnetic moment   2.02 μB per formula unit

Run ii
! BeCrTeI2 (meta-GGA SCAN, single point on PBEsol structure); values from VASP
&SYSTEM
  ibrav = 0, nat = 5, ntyp = 4
/
ATOMIC_SPECIES
Be 9.01 Be.upf
Cr 52.00 Cr.upf
Te 127.60 Te.upf
I 126.90 I.upf
ATOMIC_POSITIONS angstrom
Be 0.0000 0.0000 0.0000
Cr 2.5619 2.5619 2.5350
Te 0.0000 0.0000 2.5350
I 0.0000 2.5619 0.0000
I 2.5619 0.0000 0.0000
CELL_PARAMETERS angstrom
5.1238 0.0000 0.0000
0.0000 5.1238 0.0000
0.0000 0.0000 5.0699
! Density of states at the Fermi level   2.5 states/eV per cell
! Total magnetic moment   4.12 μB per formula unit

Which one sits at the top of the stability order? run ii does.

Run i
! BeCr2In (meta-GGA SCAN, single point on PBEsol structure); values from VASP
&SYSTEM
  ibrav = 0, nat = 4, ntyp = 3
/
ATOMIC_SPECIES
Be 9.01 Be.upf
Cr 52.00 Cr.upf
In 114.82 In.upf
ATOMIC_POSITIONS angstrom
Be 0.0000 0.0000 0.0000
Cr 0.0000 0.0000 6.0976
Cr 0.0000 0.0000 16.9138
In 0.0000 0.0000 11.5057
CELL_PARAMETERS angstrom
1.4380 0.8302 7.6705
-1.4380 0.8302 7.6705
0.0000 -1.6605 7.6705
! Density of states at the Fermi level   3.1 states/eV per cell
! Total magnetic moment   5.14 μB per formula unit

Run ii
! BeCr2In (meta-GGA SCAN, single point on PBEsol structure); values from VASP
&SYSTEM
  ibrav = 0, nat = 4, ntyp = 3
/
ATOMIC_SPECIES
Be 9.01 Be.upf
Cr 52.00 Cr.upf
In 114.82 In.upf
ATOMIC_POSITIONS angstrom
Be 0.0000 0.0000 0.0000
Cr 0.0000 2.1307 1.5827
Cr 2.1307 0.0000 1.5827
In 2.1307 2.1307 0.0000
CELL_PARAMETERS angstrom
4.2614 0.0000 0.0000
0.0000 4.2614 0.0000
0.0000 0.0000 3.1653
! Density of states at the Fermi level   1.5 states/eV per cell
! Total magnetic moment   6.63 μB per formula unit

Which one sits at the top of the stability order? run ii does.

Run i
! Be2CrMo (meta-GGA SCAN, single point on PBEsol structure); values from VASP
&SYSTEM
  ibrav = 0, nat = 4, ntyp = 3
/
ATOMIC_SPECIES
Be 9.01 Be.upf
Cr 52.00 Cr.upf
Mo 95.94 Mo.upf
ATOMIC_POSITIONS angstrom
Be 0.0000 0.0000 0.0000
Be 0.0000 0.0000 6.3488
Cr 0.0000 0.0000 12.5891
Mo 0.0000 0.0000 18.4564
CELL_PARAMETERS angstrom
1.2821 0.7402 8.1629
-1.2821 0.7402 8.1629
0.0000 -1.4804 8.1629
! Density of states at the Fermi level   2.3 states/eV per cell
! Total magnetic moment   0.00 μB per formula unit

Run ii
! Be2CrMo (meta-GGA SCAN, single point on PBEsol structure); values from VASP
&SYSTEM
  ibrav = 0, nat = 4, ntyp = 3
/
ATOMIC_SPECIES
Be 9.01 Be.upf
Cr 52.00 Cr.upf
Mo 95.94 Mo.upf
ATOMIC_POSITIONS angstrom
Be 0.0000 1.7260 0.0000
Be 1.7260 0.0000 0.0000
Cr 0.0000 0.0000 1.8309
Mo 1.7260 1.7260 1.8309
CELL_PARAMETERS angstrom
3.4519 0.0000 0.0000
0.0000 3.4519 0.0000
0.0000 0.0000 3.6619
! Density of states at the Fermi level   1.7 states/eV per cell
! Total magnetic moment   0.00 μB per formula unit

Which one sits at the top of the stability order? run ii does.

Run i
! Be4CrMo (meta-GGA SCAN, single point on PBEsol structure); values from VASP
&SYSTEM
  ibrav = 0, nat = 12, ntyp = 3
/
ATOMIC_SPECIES
Be 9.01 Be.upf
Cr 52.00 Cr.upf
Mo 95.94 Mo.upf
ATOMIC_POSITIONS angstrom
Be 0.0000 0.0000 0.0000
Be 0.0000 0.0000 3.5225
Be 0.0000 1.2695 1.6943
Be -1.0546 3.0962 1.6943
Be 1.0994 0.6347 5.3508
Be 1.0546 3.0962 1.6943
Be 3.2087 0.6347 5.3508
Be 2.1540 2.4614 5.3508
Cr 0.0000 2.4873 6.6196
Cr 2.1540 1.2436 0.4255
Mo 0.0000 2.4873 3.9909
Mo 2.1540 1.2436 3.0542
CELL_PARAMETERS angstrom
4.3081 0.0000 0.0000
-2.1540 3.7309 0.0000
0.0000 0.0000 7.0450
! Density of states at the Fermi level   4.3 states/eV per cell
! Total magnetic moment   0.00 μB per formula unit

Run ii
! Be4CrMo (meta-GGA SCAN, single point on PBEsol structure); values from VASP
&SYSTEM
  ibrav = 0, nat = 6, ntyp = 3
/
ATOMIC_SPECIES
Be 9.01 Be.upf
Cr 52.00 Cr.upf
Mo 95.94 Mo.upf
ATOMIC_POSITIONS angstrom
Be 0.7619 0.7619 0.7619
Be 2.2797 2.2797 0.7619
Be 2.2797 0.7619 2.2797
Be 0.7619 2.2797 2.2797
Cr 3.0416 3.0416 3.0416
Mo 4.5623 4.5623 4.5623
CELL_PARAMETERS angstrom
0.0000 3.0416 3.0416
3.0416 0.0000 3.0416
3.0416 3.0416 0.0000
! Density of states at the Fermi level   1.1 states/eV per cell
! Total magnetic moment   0.09 μB per formula unit

Which one sits at the top of the stability order? run ii does.

Run i
! BeCrP2O (meta-GGA SCAN, single point on PBEsol structure); values from VASP
&SYSTEM
  ibrav = 0, nat = 5, ntyp = 4
/
ATOMIC_SPECIES
Be 9.01 Be.upf
Cr 52.00 Cr.upf
P 30.97 P.upf
O 16.00 O.upf
ATOMIC_POSITIONS angstrom
Be 0.0000 0.0000 0.0000
Cr 2.2680 2.2680 1.7068
P 0.0000 2.2680 1.7068
P 2.2680 0.0000 1.7068
O 2.2680 2.2680 0.0000
CELL_PARAMETERS angstrom
4.5361 0.0000 0.0000
0.0000 4.5361 0.0000
0.0000 0.0000 3.4136
! Density of states at the Fermi level   1.4 states/eV per cell
! Total magnetic moment   0.36 μB per formula unit

Run ii
! BeCrP2O (meta-GGA SCAN, single point on PBEsol structure); values from VASP
&SYSTEM
  ibrav = 0, nat = 5, ntyp = 4
/
ATOMIC_SPECIES
Be 9.01 Be.upf
Cr 52.00 Cr.upf
P 30.97 P.upf
O 16.00 O.upf
ATOMIC_POSITIONS angstrom
Be 0.0000 0.0000 0.0000
Cr 2.3493 2.3493 1.4411
P 0.0000 2.3493 0.0000
P 2.3493 0.0000 0.0000
O 0.0000 0.0000 1.4411
CELL_PARAMETERS angstrom
4.6985 0.0000 0.0000
0.0000 4.6985 0.0000
0.0000 0.0000 2.8822
! Density of states at the Fermi level   2.6 states/eV per cell
! Total magnetic moment   3.76 μB per formula unit

Which one sits at the top of the stability order? run ii does.

Run i
! Be2CrOs (meta-GGA SCAN, single point on PBEsol structure); values from VASP
&SYSTEM
  ibrav = 0, nat = 4, ntyp = 3
/
ATOMIC_SPECIES
Be 9.01 Be.upf
Cr 52.00 Cr.upf
Os 190.23 Os.upf
ATOMIC_POSITIONS angstrom
Be 0.0000 0.0000 1.2365
Be 0.0000 0.0000 3.8757
Cr 1.4348 1.4348 2.5561
Os 1.4348 1.4348 0.0000
CELL_PARAMETERS angstrom
2.8696 0.0000 0.0000
0.0000 2.8696 0.0000
0.0000 0.0000 5.1122
! Density of states at the Fermi level   2.3 states/eV per cell
! Total magnetic moment   3.33 μB per formula unit

Run ii
! Be2CrOs (meta-GGA SCAN, single point on PBEsol structure); values from VASP
&SYSTEM
  ibrav = 0, nat = 4, ntyp = 3
/
ATOMIC_SPECIES
Be 9.01 Be.upf
Cr 52.00 Cr.upf
Os 190.23 Os.upf
ATOMIC_POSITIONS angstrom
Be 1.3745 1.3745 1.3745
Be 4.1236 4.1236 4.1236
Cr 0.0000 0.0000 0.0000
Os 2.7491 2.7491 2.7491
CELL_PARAMETERS angstrom
0.0000 2.7491 2.7491
2.7491 0.0000 2.7491
2.7491 2.7491 0.0000
! Density of states at the Fermi level   2.6 states/eV per cell
! Total magnetic moment   2.99 μB per formula unit

Which one sits at the top of the stability order? run ii does.

Run i
! BeCr2Sb (meta-GGA SCAN, single point on PBEsol structure); values from VASP
&SYSTEM
  ibrav = 0, nat = 4, ntyp = 3
/
ATOMIC_SPECIES
Be 9.01 Be.upf
Cr 52.00 Cr.upf
Sb 121.76 Sb.upf
ATOMIC_POSITIONS angstrom
Be 0.0000 0.0000 0.0000
Cr 0.0000 0.0000 3.7769
Cr 0.0000 1.8782 1.8884
Sb 1.8782 0.0000 1.8884
CELL_PARAMETERS angstrom
-1.8782 1.8782 3.7769
1.8782 -1.8782 3.7769
1.8782 1.8782 -3.7769
! Density of states at the Fermi level   2.4 states/eV per cell
! Total magnetic moment   0.29 μB per formula unit

Run ii
! BeCr2Sb (meta-GGA SCAN, single point on PBEsol structure); values from VASP
&SYSTEM
  ibrav = 0, nat = 4, ntyp = 3
/
ATOMIC_SPECIES
Be 9.01 Be.upf
Cr 52.00 Cr.upf
Sb 121.76 Sb.upf
ATOMIC_POSITIONS angstrom
Be 0.0000 0.0000 0.0000
Cr 0.0000 0.0000 3.2887
Cr 1.5131 1.5131 4.5972
Sb 1.5131 1.5131 1.6916
CELL_PARAMETERS angstrom
3.0263 0.0000 0.0000
0.0000 3.0263 0.0000
0.0000 0.0000 5.5879
! Density of states at the Fermi level   2.1 states/eV per cell
! Total magnetic moment   0.00 μB per formula unit

Which one sits at the top of the stability order? run i does.